No. 1
Here is a relaxed Ce8Hg2Pt3 crystal from Alexandria. Energies are from PBE-GGA.

Cell: 8.441 8.441 5.782 Å, 98.89 98.89 57.54°
Fractional positions:
Ce (0.077, 0.735, 0.530)
Ce (0.168, 0.168, 0.930)
Ce (0.265, 0.923, 0.470)
Ce (0.399, 0.399, 0.029)
Ce (0.601, 0.601, 0.971)
Ce (0.735, 0.077, 0.530)
Ce (0.832, 0.832, 0.070)
Ce (0.923, 0.265, 0.470)
Hg (0.288, 0.288, 0.471)
Hg (0.712, 0.712, 0.529)
Pt (0.182, 0.818, 0.000)
Pt (0.500, 0.500, 0.500)
Pt (0.818, 0.182, 0.000)

Crystal system: monoclinic
Energy of formation: -406 meV per atom
ρ: 10.227 g/cm³

No. 2
Here is a relaxed Nd2MgPb8 crystal from Alexandria. Energies are from PBE-GGA.

Cell: 4.855 4.855 14.119 Å, 90.00 90.00 90.00°
Fractional positions:
Nd (0.000, 0.000, 0.171)
Nd (0.000, 0.000, 0.829)
Mg (0.000, 0.000, 0.500)
Pb (0.000, 0.500, 0.000)
Pb (0.000, 0.500, 0.362)
Pb (0.000, 0.500, 0.638)
Pb (0.500, 0.000, 0.000)
Pb (0.500, 0.000, 0.362)
Pb (0.500, 0.000, 0.638)
Pb (0.500, 0.500, 0.186)
Pb (0.500, 0.500, 0.814)

Crystal system: tetragonal
Energy of formation: -250 meV per atom
ρ: 9.830 g/cm³

No. 3
Here is a relaxed MgZn2In crystal from Alexandria. Energies are from PBE-GGA.

Cell: 5.313 5.313 4.870 Å, 107.75 107.75 37.41°
Fractional positions:
Mg (0.000, 0.000, 0.000)
Zn (0.246, 0.246, 0.803)
Zn (0.533, 0.533, 0.532)
In (0.778, 0.778, 0.326)

Crystal system: monoclinic
Energy of formation: 16 meV per atom
ρ: 5.668 g/cm³

No. 4
Here is a relaxed PuTh3Se6 crystal from Alexandria. Energies are from PBE-GGA.

Cell: 11.525 4.240 12.000 Å, 90.00 105.84 90.00°
Fractional positions:
Pu (0.044, 0.250, 0.196)
Pu (0.956, 0.750, 0.804)
Th (0.154, 0.250, 0.566)
Th (0.305, 0.750, 0.989)
Th (0.403, 0.250, 0.335)
Th (0.597, 0.750, 0.665)
Th (0.695, 0.250, 0.011)
Th (0.846, 0.750, 0.434)
Se (0.084, 0.750, 0.391)
Se (0.115, 0.250, 0.956)
Se (0.201, 0.750, 0.739)
Se (0.242, 0.750, 0.213)
Se (0.414, 0.250, 0.585)
Se (0.474, 0.250, 0.115)
Se (0.526, 0.750, 0.885)
Se (0.586, 0.750, 0.415)
Se (0.758, 0.250, 0.787)
Se (0.799, 0.250, 0.261)
Se (0.885, 0.750, 0.044)
Se (0.916, 0.250, 0.609)

Crystal system: monoclinic
Uncorrected formation energy: -1.599 eV/atom
ρ: 8.323 g/cm³

No. 5
Here is a relaxed Pr4NiIrI2 crystal from Alexandria. Energies are from PBE-GGA.

Cell: 7.270 4.218 8.533 Å, 90.00 106.62 90.00°
Fractional positions:
Pr (0.227, 0.000, 0.183)
Pr (0.270, 0.500, 0.815)
Pr (0.730, 0.500, 0.185)
Pr (0.773, 0.000, 0.817)
Ni (0.000, 0.500, 0.000)
Ir (0.500, 0.000, 0.000)
I (0.000, 0.000, 0.500)
I (0.500, 0.500, 0.500)

Crystal system: monoclinic
Uncorrected formation energy: -0.815 eV/atom
ρ: 7.076 g/cm³

No. 6
Here is a relaxed Ac3Zn2Si2 crystal from Alexandria. Energies are from PBE-GGA.

Cell: 6.253 6.253 7.492 Å, 109.31 109.31 44.21°
Fractional positions:
Ac (0.000, 0.000, 0.000)
Ac (0.177, 0.177, 0.614)
Ac (0.823, 0.823, 0.386)
Zn (0.299, 0.299, 0.076)
Zn (0.701, 0.701, 0.924)
Si (0.486, 0.486, 0.660)
Si (0.514, 0.514, 0.340)

Crystal system: monoclinic
Uncorrected formation energy: -0.449 eV/atom
ρ: 7.553 g/cm³

No. 7
Here is a relaxed Li2FeNi crystal from Alexandria. Energies are from PBE-GGA.

Cell: 2.506 2.506 8.841 Å, 90.00 90.00 111.85°
Fractional positions:
Li (0.000, 0.000, 0.000)
Li (0.500, 0.500, 0.294)
Fe (0.500, 0.500, 0.750)
Ni (0.000, 0.000, 0.527)

Crystal system: orthorhombic
Energy of formation: 114 meV per atom
ρ: 4.138 g/cm³

No. 8
Here is a relaxed YTl2Cl crystal from Alexandria. Energies are from PBE-GGA.

Cell: 6.574 6.574 6.574 Å, 142.02 142.02 54.80°
Fractional positions:
Y (0.000, 0.000, 0.000)
Tl (0.250, 0.750, 0.500)
Tl (0.750, 0.250, 0.500)
Cl (0.500, 0.500, 0.000)

Crystal system: tetragonal
Uncorrected formation energy: -0.446 eV/atom
ρ: 8.284 g/cm³
Offset from the most stable computed form: 1.195 eV per formula unit

Number 1: total magnetic moment 0.404 μB per atom. Number 2: total magnetic moment 0.000 μB per atom. Number 3: total magnetic moment 0.000 μB per atom. Number 4: total magnetic moment 0.579 μB per atom. Number 5: total magnetic moment 0.000 μB per atom. Number 6: total magnetic moment 0.000 μB per atom. Number 7: total magnetic moment 0.748 μB per atom. Number 8: total magnetic moment 0.000 μB per atom.